*a*
The following is a PBE calculation of a geometry-optimized MgGe2Pd8 structure, from the Alexandria database.

Computed properties:
Total magnetic moment in μB/atom: 0.00

a b c (Å): 6.678 6.678 4.530
angles (deg): 99.81 99.81 112.62
Sites, in units of the cell vectors:
Mg 0.000 0.000 0.000
Ge 0.318 0.682 0.500
Ge 0.682 0.318 0.500
Pd 0.074 0.321 0.596
Pd 0.236 0.764 0.000
Pd 0.321 0.074 0.596
Pd 0.382 0.382 0.179
Pd 0.618 0.618 0.821
Pd 0.679 0.926 0.404
Pd 0.764 0.236 0.000
Pd 0.926 0.679 0.404

=====

*b*
The following is a PBE calculation of a geometry-optimized MgGe2Pd8 structure, from the Alexandria database.

Computed properties:
Total magnetic moment in μB/atom: 0.00

a b c (Å): 7.289 7.289 7.289
angles (deg): 147.75 122.48 67.50
Sites, in units of the cell vectors:
Mg 0.000 0.000 0.000
Ge 0.316 0.316 0.000
Ge 0.684 0.684 0.000
Pd 0.114 0.835 0.279
Pd 0.146 0.646 0.500
Pd 0.304 0.500 0.804
Pd 0.443 0.165 0.279
Pd 0.557 0.835 0.721
Pd 0.696 0.500 0.196
Pd 0.854 0.354 0.500
Pd 0.886 0.165 0.721

=====

According to the calculations, the structures order from most to least stable as *b*, *a*.